Record 1
A relaxed structure of Nb6AlGa5, computed with PBE.

- Volume: 219 Å³ per cell
- Spin magnetization: 0.0 μB/cell
- N(E_F): 5.24 states/eV/f.u.
- Theoretical density: 7.075 Mg/m³
- Calculated formation energy: 45 meV per atom
- DFT total energy: -6.562 eV/atom

```
12
Lattice="3.218 -5.567 0.000 3.218 5.567 0.000 -2.144 0.000 6.114" Properties=species:S:1:pos:R:3 pbc="T T T"
Nb -0.004 1.862 4.580
Nb 1.064 0.000 1.531
Nb -0.004 -1.862 4.580
Nb 4.295 1.862 1.533
Nb 3.228 0.000 4.583
Nb 4.295 -1.862 1.533
Al 3.218 0.000 0.000
Ga -1.072 0.000 3.057
Ga 3.218 3.709 0.000
Ga 2.146 1.852 3.057
Ga 2.146 -1.852 3.057
Ga 3.218 -3.709 0.000
```

***

Record 2
A relaxed structure of NbAl2Ga, computed with PBE.

- Volume: 75 Å³ per cell
- Spin magnetization: 0.0 μB/cell
- N(E_F): 1.41 states/eV/f.u.
- Theoretical density: 4.792 Mg/m³
- Calculated formation energy: 180 meV per atom
- DFT total energy: -4.966 eV/atom

```
4
Lattice="2.038 1.177 5.214 -2.038 1.177 5.214 0.000 -2.354 5.214" Properties=species:S:1:pos:R:3 pbc="T T T"
Nb 0.000 0.000 0.000
Al 0.000 0.000 6.569
Al 0.000 0.000 9.247
Ga 0.000 0.000 2.896
```

***

Record 3
A relaxed structure of Nb3AlGa, computed with PBE.

- ΔE to the lowest computed polymorph: 5.41 eV/f.u.
- Volume: 106 Å³ per cell
- Spin magnetization: 0.0 μB/cell
- N(E_F): 8.39 states/eV/f.u.
- Theoretical density: 5.865 Mg/m³
- Calculated formation energy: 914 meV per atom
- DFT total energy: -6.482 eV/atom

```
5
Lattice="4.737 0.000 0.000 0.000 4.737 0.000 0.000 0.000 4.737" Properties=species:S:1:pos:R:3 pbc="T T T"
Nb 0.000 0.000 2.368
Nb 0.000 2.368 0.000
Nb 2.368 0.000 0.000
Al 2.368 2.368 2.368
Ga 0.000 0.000 0.000
```

***

Record 4
A relaxed structure of Nb2AlGa, computed with PBE.

- Volume: 67 Å³ per cell
- Spin magnetization: 0.0 μB/cell
- N(E_F): 2.01 states/eV/f.u.
- Theoretical density: 6.995 Mg/m³
- Calculated formation energy: -275 meV per atom
- DFT total energy: -7.003 eV/atom

```
4
Lattice="4.012 0.000 0.000 0.000 4.012 0.000 0.000 0.000 4.166" Properties=species:S:1:pos:R:3 pbc="T T T"
Nb 0.000 2.006 0.000
Nb 2.006 0.000 0.000
Al 0.000 0.000 2.083
Ga 2.006 2.006 2.083
```